Computed, not measured: crystalline PmSmCdBi at its relaxed geometry at the PBE-GGA level of DFT.

Cell and atoms, written as POSCAR:
```
PmSmCdBi
1.0
0.000 3.877 3.877
3.877 0.000 3.877
3.877 3.877 0.000
Pm Sm Cd Bi
1 1 1 1
direct
0.000 0.000 0.000 Pm
0.500 0.500 0.500 Sm
0.250 0.250 0.250 Cd
0.750 0.750 0.750 Bi
```

Summary:
- Density of states at the Fermi level: 3.00 states/eV per cell
- V: 29.14 A^3/atom
- Total DFT energy (no corrections): -16.17 eV per cell
- E_form: -477 meV per atom